{
  "formula": "BaCoSe2",
  "functional": "GGA-PBE",
  "state": "optimized geometry",
  "lattice_angstrom": [[5.1758, 0.0000, 0.0000], [0.0000, 5.1758, 0.0000], [0.0000, 0.0000, 3.8139]],
  "species": ["Ba", "Co", "Se", "Se"],
  "frac_coords": [[0.0000, 0.0000, 0.0000], [0.5000, 0.5000, 0.0000], [0.0000, 0.5000, 0.5000], [0.5000, 0.0000, 0.5000]],
  "vol_a3_per_cell": 102.2,
  "e_form_raw_ev_per_atom": -0.284,
  "m_tot_mub_per_atom": 0.620
}